1.
Compound: CuCBr2
Source: Alexandria
Functional: GGA-PBE
Structure: optimized geometry

The space group is R-3m (No. 166, hexagonal axes) and the conventional cell measures 3.9741, 3.9741 and 21.4617 Å, with angles of 90.00, 90.00 and 120.00 degrees. The distinct sites, in fractional coordinates, are Cu at (0.0000, 0.0000, 0.0000), C at (0.0000, 0.0000, 0.5000) and Br at (0.0000, 0.0000, 0.1047).

Its spin magnetization is 0.249 μB/atom. The energy relative to the elements, uncorrected comes out at 1.459 eV per atom. The excess energy over the best structure of this formula in the dataset is 145 meV/atom. The value obtained for the density of states at the Fermi level is 6.19 states/eV per cell.

***

2.
Compound: KPa3Cr4N12
Source: Alexandria
Functional: GGA-PBE
Structure: optimized geometry

The space group is R32 (No. 155, hexagonal axes) and the conventional cell measures 11.3395, 11.3395 and 8.8681 Å, with angles of 90.00, 90.00 and 120.00 degrees. The distinct sites, in fractional coordinates, are K at (0.0000, 0.0000, 0.0000), Pa at (0.0000, 0.5515, 0.0000), Cr at (0.0000, 0.0000, 0.5000), Cr at (0.0000, 0.4488, 0.5000), N at (0.0000, 0.6053, 0.5000), N at (0.0000, 0.8481, 0.5000) and N at (0.0341, 0.2211, 0.1922).

Its spin magnetization is 0.201 μB/atom. The energy relative to the elements, uncorrected comes out at -0.520 eV per atom. The value obtained for the density of states at the Fermi level is 10.79 states/eV per cell.